{
  "formula": "BeOs2Au",
  "functional": "PBE-GGA",
  "state": "relaxed",
  "density_kg_m3": 16956,
  "magmom_total_mub_per_cell": 0.0,
  "dos_at_fermi_per_ev_atom": 0.903,
  "ef_mev_per_atom": 634.2,
  "space_group": "Cmmm (65)",
  "lattice": [[-4.468, 0.729, -1.336], [0.478, -1.689, 4.381], [0.131, 2.644, 1.005]],
  "species": ["Os", "Os", "Au", "Be"],
  "fractional_positions": [[0.000, 0.000, 0.000], [0.500, 0.500, 0.000], [0.500, 0.000, 0.500], [0.000, 0.500, 0.500]]
}